DFT (GGA-PBE) results for crystalline NiIrN2 at its relaxed geometry.

POSCAR file:
```
NiIrN2
1.0
5.291 0.000 0.000
0.000 5.291 0.000
0.000 0.000 5.291
Ni Ir N
4 4 8
Cartesian
0.000 0.000 0.000
0.000 2.645 2.645
2.645 0.000 2.645
2.645 2.645 0.000
0.000 0.000 2.645
0.000 2.645 0.000
2.645 0.000 0.000
2.645 2.645 2.645
1.323 1.323 1.323
1.323 1.323 3.968
1.323 3.968 1.323
1.323 3.968 3.968
3.968 1.323 1.323
3.968 1.323 3.968
3.968 3.968 1.323
3.968 3.968 3.968
```

## Properties
Fermi-level density of states in states/eV/atom: 0.618
M_tot in μB per formula unit: 1.138
VASP energy in eV per formula unit: -26.1


DFT (GGA-PBE) results for crystalline ZnSb4 at its relaxed geometry.

POSCAR file:
```
ZnSb4
1.0
8.558 0.000 0.000
0.000 8.558 0.000
0.000 0.000 3.853
Zn Sb
2 8
Cartesian
0.000 0.000 0.000
4.279 4.279 1.927
0.742 2.010 1.927
2.010 7.816 1.927
2.269 5.021 0.000
3.537 2.269 0.000
5.021 6.289 0.000
6.289 3.537 0.000
6.548 0.742 1.927
7.816 6.548 1.927
```

## Properties
Fermi-level density of states in states/eV/atom: 0.310
M_tot in μB per formula unit: 0.000
VASP energy in eV per formula unit: -16.8


DFT (GGA-PBE) results for crystalline LiAgAu2F at its relaxed geometry.

POSCAR file:
```
LiAgAu2F
1.0
5.276 0.000 0.000
0.000 5.276 0.000
0.000 0.000 4.277
Li Ag Au F
1 1 2 1
Cartesian
0.000 0.000 0.000
2.638 2.638 2.138
0.000 2.638 2.138
2.638 0.000 2.138
2.638 2.638 0.000
```

## Properties
Fermi-level density of states in states/eV/atom: 0.227
M_tot in μB per formula unit: 0.000
VASP energy in eV per formula unit: -13.9


DFT (GGA-PBE) results for crystalline Sm8Er5In at its relaxed geometry.

POSCAR file:
```
Sm8Er5In
1.0
-4.860 4.860 4.957
4.860 -4.860 4.957
4.860 4.860 -4.957
Sm Er In
8 5 1
Cartesian
4.228 1.637 -0.812
1.799 -0.881 2.488
3.061 5.741 -2.469
3.224 -0.632 5.769
3.980 3.061 2.469
1.637 5.492 0.812
0.632 3.224 4.146
0.881 1.799 7.427
7.745 0.982 -0.828
0.982 1.976 0.828
0.000 0.000 4.957
-2.885 3.878 4.130
3.878 2.885 5.785
4.860 0.000 2.479
```

## Properties
Fermi-level density of states in states/eV/atom: 1.416
Formation enthalpy at 0 K in eV/f.u.: 2.6
M_tot in μB per formula unit: 0.000


DFT (GGA-PBE) results for crystalline SmSnPb at its relaxed geometry.

POSCAR file:
```
SmSnPb
1.0
5.397 0.000 0.000
-2.698 4.674 0.000
0.000 0.000 3.504
Sm Sn Pb
1 1 1
Cartesian
0.000 0.000 0.000
0.000 3.116 1.738
2.698 1.558 1.765
```

## Properties
Fermi-level density of states in states/eV/atom: 0.939
Formation enthalpy at 0 K in eV/f.u.: -1.0
M_tot in μB per formula unit: 0.000


DFT (GGA-PBE) results for crystalline ZrRu2W at its relaxed geometry.

POSCAR file:
```
ZrRu2W
1.0
2.782 0.000 0.000
0.000 2.782 0.000
0.000 0.000 8.516
Zr Ru W
1 2 1
Cartesian
0.000 0.000 0.000
0.000 0.000 4.003
1.391 1.391 2.313
1.391 1.391 6.110
```

## Properties
Fermi-level density of states in states/eV/atom: 0.921
Formation enthalpy at 0 K in eV/f.u.: 0.5
M_tot in μB per formula unit: 0.000


DFT (GGA-PBE) results for crystalline RbSCl3 at its relaxed geometry.

POSCAR file:
```
RbSCl3
1.0
-3.556 3.556 5.485
3.556 -3.556 5.485
3.556 3.556 -5.485
Rb S Cl
2 2 6
Cartesian
3.556 0.000 2.743
0.000 3.556 2.743
0.000 0.000 0.000
0.000 0.000 5.485
0.000 0.000 2.323
1.871 1.871 0.000
1.685 -1.685 5.485
-1.685 1.685 5.485
1.685 1.685 5.485
0.000 0.000 8.648
```

## Properties
Fermi-level density of states in states/eV/atom: 0.541
M_tot in μB per formula unit: 0.169
VASP energy in eV per formula unit: -14.3


DFT (GGA-PBE) results for crystalline La3Nd3Ho at its relaxed geometry.

POSCAR file:
```
La3Nd3Ho
1.0
4.455 2.572 7.371
-4.455 2.572 7.371
0.000 -5.144 7.371
La Nd Ho
6 6 2
Cartesian
-1.073 -3.237 8.632
-3.340 -0.689 13.480
-2.266 2.548 8.632
2.266 -2.548 13.480
3.340 0.689 8.632
1.073 3.237 13.480
-2.922 -0.883 10.002
-0.696 -2.972 12.109
-2.225 2.089 12.109
2.225 -2.089 10.002
0.696 2.972 10.002
2.922 0.883 12.109
0.000 0.000 7.703
0.000 0.000 14.409
```

## Properties
Fermi-level density of states in states/eV/atom: 1.527
Formation enthalpy at 0 K in eV/f.u.: 1.5
M_tot in μB per formula unit: 0.000


DFT (GGA-PBE) results for crystalline KFe2Os at its relaxed geometry.

POSCAR file:
```
KFe2Os
1.0
4.981 0.000 0.000
0.000 4.981 0.000
0.000 0.000 2.602
K Fe Os
1 2 1
Cartesian
0.000 0.000 0.000
0.000 2.490 1.301
2.490 0.000 1.301
2.490 2.490 0.000
```

## Properties
Fermi-level density of states in states/eV/atom: 1.335
Formation enthalpy at 0 K in eV/f.u.: 4.7
M_tot in μB per formula unit: 5.976


DFT (GGA-PBE) results for crystalline CaNbCoB2 at its relaxed geometry.

POSCAR file:
```
CaNbCoB2
1.0
3.981 0.000 0.000
0.000 3.981 0.000
0.000 0.000 4.651
Ca Nb Co B
1 1 1 2
Cartesian
0.000 0.000 0.000
1.991 1.991 0.000
1.991 1.991 2.325
0.000 1.991 2.325
1.991 0.000 2.325
```

## Properties
Fermi-level density of states in states/eV/atom: 0.757
Formation enthalpy at 0 K in eV/f.u.: 3.8
M_tot in μB per formula unit: 0.019


DFT (GGA-PBE) results for crystalline BaPaAg2Te4 at its relaxed geometry.

POSCAR file:
```
BaPaAg2Te4
1.0
7.502 0.000 0.000
0.000 8.313 0.000
0.000 0.000 9.018
Ba Pa Ag Te
2 2 4 8
Cartesian
0.000 0.000 0.000
3.751 4.156 4.509
0.000 0.000 4.509
3.751 4.156 0.000
0.000 4.156 1.426
0.000 4.156 7.592
3.751 0.000 3.083
3.751 0.000 5.935
1.685 1.771 2.772
1.685 6.542 6.246
2.066 2.386 7.281
2.066 5.927 1.737
5.436 2.386 1.737
5.436 5.927 7.281
5.817 1.771 6.246
5.817 6.542 2.772
```

## Properties
Fermi-level density of states in states/eV/atom: 0.834
M_tot in μB per formula unit: 0.999
VASP energy in eV per formula unit: -34.7


DFT (GGA-PBE) results for crystalline Rb8Tl at its relaxed geometry.

POSCAR file:
```
Rb8Tl
1.0
-8.034 8.034 2.706
8.034 -8.034 2.706
8.034 8.034 -2.706
Rb Tl
8 1
Cartesian
5.296 0.000 0.000
10.772 0.000 0.000
0.000 5.296 0.000
5.770 5.770 0.000
2.264 -2.264 2.706
-2.264 2.264 2.706
2.264 2.264 2.706
0.000 10.772 0.000
0.000 0.000 0.000
```

## Properties
Fermi-level density of states in states/eV/atom: 0.798
Formation enthalpy at 0 K in eV/f.u.: 0.2
M_tot in μB per formula unit: 0.000